# Rb3Sn7Pd2

An optimized crystal structure of Rb3Sn7Pd2 (PBE, Alexandria).

abc: 16.439 16.439 5.045
angles: 90.00 90.00 162.13
Element x y z (fractional)
Rb 0.000 0.000 0.000
Rb 0.202 0.798 0.000
Rb 0.798 0.202 0.000
Sn 0.109 0.891 0.500
Sn 0.332 0.668 0.500
Sn 0.391 0.609 0.000
Sn 0.500 0.500 0.500
Sn 0.609 0.391 0.000
Sn 0.668 0.332 0.500
Sn 0.891 0.109 0.500
Pd 0.422 0.578 0.500
Pd 0.578 0.422 0.500

Space-group type: Cmmm
ρ: 5.16 g cm⁻³
Calculated total energy: -42.6 eV/cell
Formation energy: -0.111 eV/atom